Cs3PmPr2Se6: relaxed, PBE.

a = 7.647 Å, b = 7.647 Å, c = 8.790 Å
α = 98.34°, β = 98.34°, γ = 120.00°
Element x y z (fractional)
Cs  0.167  0.833  0.500
Cs  0.833  0.167  0.500
Cs  0.500  0.500  0.500
Pm  0.000  0.000  0.000
Pr  0.333  0.667  0.000
Pr  0.667  0.333  0.000
Se  0.936  0.606  0.809
Se  0.734  0.734  0.191
Se  0.064  0.394  0.191
Se  0.606  0.936  0.809
Se  0.266  0.266  0.809
Se  0.394  0.064  0.191

- Formation energy (no corrections): -20.74 eV/f.u.
- V: 35.5 Å³/atom